# 1
K2ZrTl: relaxed, GGA-PBE.

a = 7.0590 Å, b = 7.0590 Å, c = 3.3931 Å
α = 90.00°, β = 90.00°, γ = 125.35°
Site moments in Bohr magnetons follow the coordinates.
Fractional positions:
K: 0.0000 0.0000 0.0000  0.03
K: 0.5000 0.5000 0.0000  0.03
Tl: 0.5000 0.0000 0.5000  0.01
Zr: 0.0000 0.5000 0.5000  1.05

Calculated values
- Space-group type: Cmmm (65)
- Electronic total energy: -10.69 eV/cell

# 2
NbFe3Pt4: relaxed, GGA-PBE.

a = 2.7980 Å, b = 3.9185 Å, c = 11.3360 Å
α = 99.93°, β = 97.09°, γ = 90.00°
Site moments in Bohr magnetons follow the coordinates.
Fractional positions:
Nb: 0.5000 0.0000 0.0000  -0.22
Fe: 0.0000 0.5000 0.0000  0.42
Fe: 0.1584 0.1587 0.3167  3.09
Fe: 0.8416 0.8413 0.6833  3.09
Pt: 0.4035 0.4035 0.8071  0.13
Pt: 0.5965 0.5965 0.1929  0.13
Pt: 0.7173 0.7174 0.4346  0.23
Pt: 0.2827 0.2826 0.5654  0.23

Calculated values
- Space-group type: Immm (71)
- Electronic total energy: -60.16 eV/cell